(1)
Entry from the Alexandria database: an optimized crystal structure of CaFe2Te (GGA-PBE).

```
data_CaFe2Te
_symmetry_space_group_name_H-M 'P 1'
_symmetry_Int_Tables_number 1
_cell_length_a 5.4072
_cell_length_b 5.4072
_cell_length_c 5.4072
_cell_angle_alpha 141.49
_cell_angle_beta 128.08
_cell_angle_gamma 66.47
loop_
_symmetry_equiv_pos_as_xyz
'x,y,z'
loop_
_atom_site_label
_atom_site_type_symbol
_atom_site_fract_x
_atom_site_fract_y
_atom_site_fract_z
Fe1 Fe 0.0425 0.0425 0.0000
Fe2 Fe 0.2322 0.7322 0.5000
Te1 Te 0.4716 0.4716 0.0000
Ca1 Ca 0.7537 0.2537 0.5000
```

Output
Crystal system ... orthorhombic
Raw formation energy ... 0.8 eV/f.u.
Energy relative to the lowest polymorph listed for this composition ... 0.323 eV/atom
M_tot ... 4.4 μB per formula unit



(2)
Entry from the Alexandria database: an optimized crystal structure of PmTmZnHg (GGA-PBE).

```
data_PmTmZnHg
_symmetry_space_group_name_H-M 'P 1'
_symmetry_Int_Tables_number 1
_cell_length_a 3.6117
_cell_length_b 3.6117
_cell_length_c 7.5450
_cell_angle_alpha 90.00
_cell_angle_beta 90.00
_cell_angle_gamma 90.00
loop_
_symmetry_equiv_pos_as_xyz
'x,y,z'
loop_
_atom_site_label
_atom_site_type_symbol
_atom_site_fract_x
_atom_site_fract_y
_atom_site_fract_z
Pm1 Pm 0.5000 0.5000 0.1243
Zn1 Zn 0.0000 0.0000 0.3753
Tm1 Tm 0.5000 0.5000 0.5913
Hg1 Hg 0.0000 0.0000 0.8371
```

Output
Crystal system ... tetragonal
Energy relative to the lowest polymorph listed for this composition ... 0.000 eV/atom
M_tot ... 0.0 μB per formula unit
Energy of formation from the pure elements ... -157 kJ/mol of formula units



(3)
Entry from the Alexandria database: an optimized crystal structure of Ba2TeI (GGA-PBE).

```
data_Ba2TeI
_symmetry_space_group_name_H-M 'P 1'
_symmetry_Int_Tables_number 1
_cell_length_a 4.8825
_cell_length_b 4.8825
_cell_length_c 9.1585
_cell_angle_alpha 74.54
_cell_angle_beta 74.54
_cell_angle_gamma 60.00
loop_
_symmetry_equiv_pos_as_xyz
'x,y,z'
loop_
_atom_site_label
_atom_site_type_symbol
_atom_site_fract_x
_atom_site_fract_y
_atom_site_fract_z
Ba1 Ba 0.2598 0.2598 0.2205
Te1 Te 0.6679 0.6679 0.9964
I1 I 0.4986 0.4986 0.5042
Ba2 Ba 0.0737 0.0737 0.7790
```

Output
Crystal system ... trigonal
Raw formation energy ... -6.2 eV/f.u.
Energy relative to the lowest polymorph listed for this composition ... 0.033 eV/atom
M_tot ... 0.3 μB per formula unit



(4)
Entry from the Alexandria database: an optimized crystal structure of Mn2CdBr (GGA-PBE).

```
data_Mn2CdBr
_symmetry_space_group_name_H-M 'P 1'
_symmetry_Int_Tables_number 1
_cell_length_a 4.8238
_cell_length_b 4.8238
_cell_length_c 4.8238
_cell_angle_alpha 60.00
_cell_angle_beta 60.00
_cell_angle_gamma 60.00
loop_
_symmetry_equiv_pos_as_xyz
'x,y,z'
loop_
_atom_site_label
_atom_site_type_symbol
_atom_site_fract_x
_atom_site_fract_y
_atom_site_fract_z
Mn1 Mn 0.2500 0.2500 0.2500
Br1 Br 0.5000 0.5000 0.5000
Cd1 Cd 0.7500 0.7500 0.7500
Mn2 Mn 0.0000 0.0000 0.0000
```

Output
Crystal system ... cubic
Raw formation energy ... 3.3 eV/f.u.
Energy relative to the lowest polymorph listed for this composition ... 0.617 eV/atom
M_tot ... 7.2 μB per formula unit



(5)
Entry from the Alexandria database: an optimized crystal structure of Na2In (GGA-PBE).

```
data_Na2In
_symmetry_space_group_name_H-M 'P 1'
_symmetry_Int_Tables_number 1
_cell_length_a 6.2634
_cell_length_b 6.2634
_cell_length_c 6.2634
_cell_angle_alpha 60.00
_cell_angle_beta 60.00
_cell_angle_gamma 60.00
loop_
_symmetry_equiv_pos_as_xyz
'x,y,z'
loop_
_atom_site_label
_atom_site_type_symbol
_atom_site_fract_x
_atom_site_fract_y
_atom_site_fract_z
Na1 Na 0.6250 0.6250 0.1250
Na2 Na 0.6250 0.6250 0.6250
Na3 Na 0.6250 0.1250 0.6250
Na4 Na 0.1250 0.6250 0.6250
In1 In 0.2500 0.2500 0.2500
In2 In 0.0000 0.0000 0.0000
```

Output
Crystal system ... cubic
M_tot ... 0.0 μB per formula unit
Energy of formation from the pure elements ... 20 kJ/mol of formula units



(6)
Entry from the Alexandria database: an optimized crystal structure of PmZnSn (GGA-PBE).

```
data_PmZnSn
_symmetry_space_group_name_H-M 'P 1'
_symmetry_Int_Tables_number 1
_cell_length_a 5.0690
_cell_length_b 5.0690
_cell_length_c 6.3221
_cell_angle_alpha 90.00
_cell_angle_beta 90.00
_cell_angle_gamma 108.92
loop_
_symmetry_equiv_pos_as_xyz
'x,y,z'
loop_
_atom_site_label
_atom_site_type_symbol
_atom_site_fract_x
_atom_site_fract_y
_atom_site_fract_z
Pm1 Pm 0.6617 0.3383 0.7500
Sn1 Sn 0.7174 0.2826 0.2500
Zn1 Zn 0.0000 0.0000 0.0000
Sn2 Sn 0.2826 0.7174 0.7500
Zn2 Zn 0.0000 0.0000 0.5000
Pm2 Pm 0.3383 0.6617 0.2500
```

Output
Crystal system ... orthorhombic
Energy relative to the lowest polymorph listed for this composition ... 0.204 eV/atom
M_tot ... 0.0 μB per formula unit
Energy of formation from the pure elements ... -108 kJ/mol of formula units



(7)
Entry from the Alexandria database: an optimized crystal structure of LiAlSb3 (GGA-PBE).

```
data_LiAlSb3
_symmetry_space_group_name_H-M 'P 1'
_symmetry_Int_Tables_number 1
_cell_length_a 5.3460
_cell_length_b 5.3460
_cell_length_c 5.3460
_cell_angle_alpha 90.00
_cell_angle_beta 90.00
_cell_angle_gamma 90.00
loop_
_symmetry_equiv_pos_as_xyz
'x,y,z'
loop_
_atom_site_label
_atom_site_type_symbol
_atom_site_fract_x
_atom_site_fract_y
_atom_site_fract_z
Sb1 Sb 0.0000 0.5000 0.0000
Li1 Li 0.5000 0.5000 0.5000
Sb2 Sb 0.0000 0.0000 0.5000
Sb3 Sb 0.5000 0.0000 0.0000
Al1 Al 0.0000 0.0000 0.0000
```

Output
Crystal system ... cubic
Raw formation energy ... 1.7 eV/f.u.
Energy relative to the lowest polymorph listed for this composition ... 0.000 eV/atom
M_tot ... 0.0 μB per formula unit



(8)
Entry from the Alexandria database: an optimized crystal structure of KRe2Tc (GGA-PBE).

```
data_KRe2Tc
_symmetry_space_group_name_H-M 'P 1'
_symmetry_Int_Tables_number 1
_cell_length_a 4.8704
_cell_length_b 4.8704
_cell_length_c 6.8766
_cell_angle_alpha 83.29
_cell_angle_beta 83.29
_cell_angle_gamma 33.57
loop_
_symmetry_equiv_pos_as_xyz
'x,y,z'
loop_
_atom_site_label
_atom_site_type_symbol
_atom_site_fract_x
_atom_site_fract_y
_atom_site_fract_z
K1 K 0.7497 0.7497 0.7502
Re1 Re 0.2490 0.2490 0.2480
Tc1 Tc 0.5324 0.5324 0.3918
Re2 Re 0.9689 0.9689 0.1100
```

Output
Crystal system ... monoclinic
Energy relative to the lowest polymorph listed for this composition ... 0.277 eV/atom
M_tot ... 0.0 μB per formula unit
Energy of formation from the pure elements ... 385 kJ/mol of formula units



(9)
Entry from the Alexandria database: an optimized crystal structure of CoOsRh2 (GGA-PBE).

```
data_CoOsRh2
_symmetry_space_group_name_H-M 'P 1'
_symmetry_Int_Tables_number 1
_cell_length_a 8.7227
_cell_length_b 8.7227
_cell_length_c 8.7227
_cell_angle_alpha 17.86
_cell_angle_beta 17.86
_cell_angle_gamma 17.86
loop_
_symmetry_equiv_pos_as_xyz
'x,y,z'
loop_
_atom_site_label
_atom_site_type_symbol
_atom_site_fract_x
_atom_site_fract_y
_atom_site_fract_z
Os1 Os 0.7500 0.7500 0.7500
Rh1 Rh 0.9979 0.9979 0.9979
Rh2 Rh 0.5021 0.5021 0.5021
Co1 Co 0.2500 0.2500 0.2500
```

Output
Crystal system ... trigonal
Energy relative to the lowest polymorph listed for this composition ... 0.032 eV/atom
M_tot ... 2.4 μB per formula unit
Energy of formation from the pure elements ... 43 kJ/mol of formula units



(10)
Entry from the Alexandria database: an optimized crystal structure of SrPSe (GGA-PBE).

```
data_SrPSe
_symmetry_space_group_name_H-M 'P 1'
_symmetry_Int_Tables_number 1
_cell_length_a 4.3899
_cell_length_b 3.8831
_cell_length_c 9.3487
_cell_angle_alpha 90.00
_cell_angle_beta 93.47
_cell_angle_gamma 90.00
loop_
_symmetry_equiv_pos_as_xyz
'x,y,z'
loop_
_atom_site_label
_atom_site_type_symbol
_atom_site_fract_x
_atom_site_fract_y
_atom_site_fract_z
P1 P 0.6117 0.0000 0.7959
Se1 Se 0.5868 0.5000 0.4069
Se2 Se 0.0909 0.5000 0.0518
Sr1 Sr 0.6002 0.0000 0.1432
Sr2 Sr 0.1088 0.0000 0.5423
P2 P 0.9161 0.5000 0.8121
```

Output
Crystal system ... monoclinic
Raw formation energy ... -3.3 eV/f.u.
M_tot ... 0.0 μB per formula unit



(11)
Entry from the Alexandria database: an optimized crystal structure of CaCuPb2 (GGA-PBE).

```
data_CaCuPb2
_symmetry_space_group_name_H-M 'P 1'
_symmetry_Int_Tables_number 1
_cell_length_a 6.0900
_cell_length_b 6.0900
_cell_length_c 6.0900
_cell_angle_alpha 143.87
_cell_angle_beta 125.67
_cell_angle_gamma 67.00
loop_
_symmetry_equiv_pos_as_xyz
'x,y,z'
loop_
_atom_site_label
_atom_site_type_symbol
_atom_site_fract_x
_atom_site_fract_y
_atom_site_fract_z
Pb1 Pb 0.4595 0.4595 0.0000
Cu1 Cu 0.2500 0.7500 0.5000
Pb2 Pb 0.0405 0.0405 0.0000
Ca1 Ca 0.7500 0.2500 0.5000
```

Output
Crystal system ... orthorhombic
M_tot ... 0.0 μB per formula unit
Energy of formation from the pure elements ... -32 kJ/mol of formula units



(12)
Entry from the Alexandria database: an optimized crystal structure of TbTmCdIr (GGA-PBE).

```
data_TbTmCdIr
_symmetry_space_group_name_H-M 'P 1'
_symmetry_Int_Tables_number 1
_cell_length_a 5.0133
_cell_length_b 5.0133
_cell_length_c 5.0133
_cell_angle_alpha 60.00
_cell_angle_beta 60.00
_cell_angle_gamma 60.00
loop_
_symmetry_equiv_pos_as_xyz
'x,y,z'
loop_
_atom_site_label
_atom_site_type_symbol
_atom_site_fract_x
_atom_site_fract_y
_atom_site_fract_z
Tm1 Tm 0.0000 0.0000 0.0000
Ir1 Ir 0.2500 0.2500 0.2500
Tb1 Tb 0.5000 0.5000 0.5000
Cd1 Cd 0.7500 0.7500 0.7500
```

Output
Crystal system ... cubic
M_tot ... 0.0 μB per formula unit
Energy of formation from the pure elements ... -218 kJ/mol of formula units